1.
# Al3P4H18C3N3O16 (PBE, optimized geometry)
# - energy (eV per atom) = -6.2237
# - total magnetization (μB per cell) = 0.234
data_Al3P4H18C3N3O16
_chemical_formula_sum 'Al6 P8 H36 C6 N6 O32'
_cell_length_a 8.461
_cell_length_b 11.394
_cell_length_c 11.620
_cell_angle_alpha 72.96
_cell_angle_beta 89.29
_cell_angle_gamma 85.35
_space_group_name_H-M_alt 'P -1'
_space_group_IT_number 2
_space_group_name_Hall '-P 1'
loop_
_atom_site_label
_atom_site_type_symbol
_atom_site_fract_x
_atom_site_fract_y
_atom_site_fract_z
Al1 Al 0.148 0.154 0.426
Al2 Al 0.261 0.789 0.785
Al3 Al 0.321 0.449 0.135
P1 P 0.023 0.029 0.686
P2 P 0.023 0.606 0.758
P3 P 0.475 0.269 0.381
P4 P 0.476 0.693 0.020
H1 H 0.074 0.123 0.030
H2 H 0.078 0.758 0.034
H3 H 0.083 0.194 0.814
H4 H 0.094 0.278 0.032
H5 H 0.101 0.505 0.418
H6 H 0.110 0.341 0.814
H7 H 0.127 0.654 0.433
H8 H 0.223 0.499 0.613
H9 H 0.253 0.230 0.875
H10 H 0.261 0.588 0.345
H11 H 0.265 0.860 0.261
H12 H 0.350 0.430 0.529
H13 H 0.376 0.574 0.535
H14 H 0.410 0.051 0.746
H15 H 0.414 0.017 0.303
H16 H 0.421 0.792 0.356
H17 H 0.433 0.019 0.149
H18 H 0.434 0.802 0.206
C1 C 0.050 0.220 0.981
C2 C 0.188 0.569 0.425
C3 C 0.461 0.966 0.242
N1 N 0.130 0.247 0.863
N2 N 0.291 0.512 0.533
N3 N 0.389 0.846 0.269
O1 O 0.037 0.295 0.361
O2 O 0.057 0.894 0.240
O3 O 0.100 0.493 0.728
O4 O 0.102 0.037 0.365
O5 O 0.113 0.112 0.580
O6 O 0.118 0.428 0.156
O7 O 0.140 0.666 0.821
O8 O 0.146 0.929 0.763
O9 O 0.350 0.172 0.401
O10 O 0.354 0.606 0.093
O11 O 0.368 0.793 0.652
O12 O 0.387 0.384 0.022
O13 O 0.388 0.779 0.906
O14 O 0.422 0.383 0.273
O15 O 0.459 0.233 0.905
O16 O 0.497 0.310 0.493

---

2.
# NaAlH2CO5 (PBE, optimized geometry)
# - energy (eV per atom) = -6.4194
# - total magnetization (μB per cell) = 0.001
data_NaAlH2CO5
_chemical_formula_sum 'Na4 Al4 H8 C4 O20'
_cell_length_a 5.643
_cell_length_b 6.858
_cell_length_c 10.406
_cell_angle_alpha 90.00
_cell_angle_beta 90.00
_cell_angle_gamma 90.00
_space_group_name_H-M_alt 'I m m a'
_space_group_IT_number 74
_space_group_name_Hall '-I 2b 2'
loop_
_atom_site_label
_atom_site_type_symbol
_atom_site_fract_x
_atom_site_fract_y
_atom_site_fract_z
Na1 Na 0.000 0.000 0.000
Al1 Al 0.250 0.250 0.250
H1 H 0.000 0.049 0.720
C1 C 0.000 0.250 0.501
O1 O 0.000 0.069 0.225
O2 O 0.000 0.250 0.623
O3 O 0.202 0.250 0.437

---

3.
# Na3AlH10C6O17 (PBE, optimized geometry)
# - energy (eV per atom) = -6.2454
# - total magnetization (μB per cell) = 0.000
data_Na3AlH10C6O17
_chemical_formula_sum 'Na24 Al8 H80 C48 O136'
_cell_length_a 17.476
_cell_length_b 12.583
_cell_length_c 15.383
_cell_angle_alpha 90.00
_cell_angle_beta 99.74
_cell_angle_gamma 90.00
_space_group_name_H-M_alt 'C 1 2/c 1'
_space_group_IT_number 15
_space_group_name_Hall '-C 2yc'
loop_
_atom_site_label
_atom_site_type_symbol
_atom_site_fract_x
_atom_site_fract_y
_atom_site_fract_z
Na1 Na 0.000 0.007 0.250
Na2 Na 0.000 0.271 0.750
Na3 Na 0.041 0.388 0.000
Na4 Na 0.120 0.132 0.012
Al1 Al 0.191 0.368 0.238
H1 H 0.032 0.188 0.446
H2 H 0.043 0.190 0.551
H3 H 0.095 0.397 0.414
H4 H 0.130 0.409 0.513
H5 H 0.157 0.321 0.914
H6 H 0.204 0.349 0.006
H7 H 0.222 0.310 0.618
H8 H 0.233 0.043 0.498
H9 H 0.238 0.435 0.628
H10 H 0.250 0.009 0.092
C1 C 0.085 0.474 0.686
C2 C 0.103 0.215 0.298
C3 C 0.127 0.172 0.212
C4 C 0.138 0.435 0.772
C5 C 0.152 0.158 0.709
C6 C 0.164 0.109 0.803
O1 O 0.005 0.201 0.497
O2 O 0.031 0.418 0.650
O3 O 0.064 0.160 0.341
O4 O 0.086 0.171 0.667
O5 O 0.086 0.431 0.469
O6 O 0.103 0.085 0.180
O7 O 0.106 0.434 0.160
O8 O 0.108 0.097 0.842
O9 O 0.126 0.349 0.805
O10 O 0.127 0.311 0.317
O11 O 0.160 0.306 0.978
O12 O 0.171 0.237 0.177
O13 O 0.194 0.500 0.300
O14 O 0.217 0.181 0.683
O15 O 0.220 0.378 0.586
O16 O 0.222 0.019 0.031
O17 O 0.236 0.086 0.834